No. 1
Ho3BiAs2 (PBE, optimized geometry); space group = No. 164; total energy = -34.79 eV per cell
1.0
4.172 0.000 0.000
-2.086 3.613 0.000
0.000 0.000 10.487
As Ho Bi
2 3 1
Cartesian
0.000 2.409 8.832
2.086 1.204 1.655
0.000 0.000 0.000
2.086 1.204 7.245
0.000 2.409 3.243
0.000 0.000 5.244



No. 2
Ho2Sc2BiAs (PBE, optimized geometry); space group = No. 107; total energy = -35.17 eV per cell
1.0
-2.134 2.134 8.054
2.134 -2.134 8.054
2.134 2.134 -8.054
Sc As Ho Bi
2 1 2 1
Cartesian
0.000 2.134 0.137
2.134 0.000 0.137
0.000 0.000 2.089
0.000 0.000 10.812
0.000 0.000 5.048
0.000 0.000 13.994



| no. | magnetization (μB/f.u.) | ρ (g/cm3) |
| --- | --- | --- |
| 1 | 0.00 | 9.0 |
| 2 | 0.89 | 8.0 |